The following is a PBE calculation of AcGdTh after structural relaxation, from Alexandria via LeMat-Bulk.

Cell: 3.706 3.706 9.096 Å, 90.00 90.00 120.00°
Each line ends with the local moment (μB).
Atoms (fractional coordinates):
Th: 0.333 0.667 0.658  -0.03
Gd: 0.667 0.333 0.351  7.21
Ac: 0.000 0.000 0.991  0.02

Calculated values
- E above lowest polymorph (meV/atom) = 7.9
- energy of formation from the pure elements (eV/atom) = 0.09
- symmetry = No. 156
- DOS at the Fermi energy (states/eV/cell) = 4.6